DFT (PBE-GGA) results for a geometry-optimized Th2FeBr structure.

Cell lengths 3.9999, 3.9999, 8.2910 Å; angles 76.04, 76.04, 60.00 degrees
Last column: nearest neighbours and their distance in Å.
Positions (direct):
Th1 0.2746 0.2746 0.1762  3 Fe 2.72
Fe1 0.6681 0.6681 0.9957  6 Th 2.70-2.72
Th2 0.0598 0.0598 0.8206  3 Fe 2.70
Br1 0.4975 0.4975 0.5075  6 Th 3.40-3.51

formation energy without anion corrections	-0.6106	eV/atom
ΔE to the lowest computed polymorph	16	meV per atom



DFT (PBE-GGA) results for a geometry-optimized Zr2NiAg structure.

Cell lengths 9.0427, 9.0427, 9.0427 Å; angles 20.28, 20.28, 20.28 degrees
Last column: nearest neighbours and their distance in Å.
Positions (direct):
Zr1 0.0125 0.0125 0.0125  3 Ni 2.60
Ag1 0.4907 0.4907 0.4907  3 Ni 2.73, 3 Zr 3.04
Zr2 0.2487 0.2487 0.2487  3 Ag 3.04, 9 Zr 3.17-3.18
Ni1 0.7481 0.7481 0.7481  3 Zr 2.60, 3 Ag 2.73

formation energy	70	meV per atom



DFT (PBE-GGA) results for a geometry-optimized DyZrNi4 structure.

Cell lengths 5.0028, 5.0028, 5.0028 Å; angles 60.00, 60.00, 60.00 degrees
Last column: nearest neighbours and their distance in Å.
Positions (direct):
Ni1 0.6247 0.6247 0.6247  6 Ni 2.50-2.51
Ni2 0.6247 0.1259 0.6247  6 Ni 2.50-2.51
Ni3 0.6247 0.6247 0.1259  6 Ni 2.50-2.51
Dy1 0.0000 0.0000 0.0000  12 Ni 2.93, 4 Zr 3.06
Zr1 0.2500 0.2500 0.2500  12 Ni 2.93, 4 Dy 3.06
Ni4 0.1259 0.6247 0.6247  6 Ni 2.50-2.51

formation energy	-399	meV per atom



DFT (PBE-GGA) results for a geometry-optimized Ce5AlGa3 structure.

Cell lengths 6.2771, 9.0500, 9.0500 Å; angles 120.00, 90.00, 90.00 degrees
Last column: nearest neighbours and their distance in Å.
Positions (direct):
Ce1 0.2500 0.3004 0.3004  5 Ga 3.01-3.18, 2 Al 3.14
Ga1 0.2500 0.0000 0.3576  9 Ce 3.01-3.31
Ce2 0.7500 0.3004 0.0000  5 Ga 3.01-3.18, 2 Al 3.14
Ce3 0.2500 0.0000 0.6996  5 Ga 3.01-3.18, 2 Al 3.14
Ga2 0.2500 0.3576 0.0000  9 Ce 3.01-3.31
Ce4 0.7500 0.0000 0.3004  5 Ga 3.01-3.18, 2 Al 3.14
Ga3 0.7500 0.6424 0.0000  9 Ce 3.01-3.31
Ce5 0.5000 0.3333 0.6667  2 Ce 3.14, 6 Ga 3.31
Al1 0.0000 0.0000 0.0000  2 Al 3.14, 6 Ce 3.14
Al2 0.5000 0.0000 0.0000  2 Al 3.14, 6 Ce 3.14
Ga4 0.7500 0.0000 0.6424  9 Ce 3.01-3.31
Ce6 0.0000 0.3333 0.6667  2 Ce 3.14, 6 Ga 3.31
Ga5 0.7500 0.3576 0.3576  9 Ce 3.01-3.31
Ce7 0.5000 0.6667 0.3333  2 Ce 3.14, 6 Ga 3.31
Ce8 0.2500 0.6996 0.0000  5 Ga 3.01-3.18, 2 Al 3.14
Ga6 0.2500 0.6424 0.6424  9 Ce 3.01-3.31
Ce9 0.7500 0.6996 0.6996  5 Ga 3.01-3.18, 2 Al 3.14
Ce10 0.0000 0.6667 0.3333  2 Ce 3.14, 6 Ga 3.31

formation energy	-355	meV per atom



Values for E, Ry per atom, ordered as above
-0.5038; -0.4676; -0.4737; -0.3731